#i
Below is crystalline Ta2SnTe at its relaxed geometry, with properties calculated at the PBE level.

Structure (POSCAR):
```
Ta2SnTe
1.0
4.2426 0.0000 0.0000
0.0000 4.2426 0.0000
2.1213 2.1213 9.9696
Te Sn Ta
2 2 4
direct
0.0000 0.0000 0.0000
0.7500 0.2500 0.5000
0.5000 0.5000 0.0000
0.2500 0.7500 0.5000
0.6231 0.1250 0.2500
0.1269 0.6250 0.2500
0.3750 0.3769 0.7500
0.8750 0.8731 0.7500
```

Results
V   22.4 A^3/atom

#ii
Below is crystalline Ta2SnTe at its relaxed geometry, with properties calculated at the PBE level.

Structure (POSCAR):
```
Ta2SnTe
1.0
1.1608 -3.7598 2.8105
-2.9217 -3.8467 0.2205
1.3593 -4.1864 -2.0020
Te Sn Ta
1 1 2
direct
0.5000 0.5000 0.5000
0.0000 0.0000 0.0000
0.2500 0.2500 0.2500
0.7500 0.7500 0.7500
```

Results
V   20.0 A^3/atom

Of them, the most stable is #ii and the least stable is #i.

#i
Below is crystalline TaTiSn at its relaxed geometry, with properties calculated at the PBE level.

Structure (POSCAR):
```
TaTiSn
1.0
4.0013 0.0000 0.0000
0.0000 4.0013 0.0000
-2.0007 -2.0007 7.3794
Ti Ta Sn
2 2 2
direct
0.1603 0.1603 0.3205
0.8397 0.8397 0.6795
0.0000 0.5000 0.0000
0.5000 0.0000 0.0000
0.6486 0.6486 0.2972
0.3514 0.3514 0.7028
```

Results
V   19.7 A^3/atom

#ii
Below is crystalline TaTiSn at its relaxed geometry, with properties calculated at the PBE level.

Structure (POSCAR):
```
TaTiSn
1.0
2.9420 0.0000 0.0000
0.0000 4.7258 0.0000
0.0000 -2.3629 4.0926
Ti Sn Ta
1 1 1
direct
0.6680 0.3333 0.6667
0.3433 0.6667 0.3333
0.9887 0.0000 0.0000
```

Results
V   19.0 A^3/atom

#iii
Below is crystalline TaTiSn at its relaxed geometry, with properties calculated at the PBE level.

Structure (POSCAR):
```
TaTiSn
1.0
-1.7769 -1.7183 -1.6982
4.7249 -2.1127 -2.8157
-1.4721 -5.4000 4.0905
Ta Ti Sn
2 2 2
direct
0.8654 0.9975 0.2606
0.9762 0.3477 0.5561
0.6549 0.4983 0.2510
0.1870 0.8469 0.5657
0.4188 0.1734 0.9083
0.4226 0.6734 0.9084
```

Results
V   19.5 A^3/atom

Of them, the most stable is #i and the least stable is #ii.

#i
Below is crystalline TaTiSn2 at its relaxed geometry, with properties calculated at the PBE level.

Structure (POSCAR):
```
TaTiSn2
1.0
6.3445 0.0000 0.0000
0.0000 6.3445 0.0000
3.1722 3.1722 6.2488
Ti Sn Ta
2 4 2
direct
0.5000 0.5000 0.0000
0.2500 0.7500 0.5000
0.6268 0.1250 0.2500
0.1232 0.6250 0.2500
0.3750 0.3732 0.7500
0.8750 0.8768 0.7500
0.0000 0.0000 0.0000
0.7500 0.2500 0.5000
```

Results
V   31.4 A^3/atom

#ii
Below is crystalline TaTiSn2 at its relaxed geometry, with properties calculated at the PBE level.

Structure (POSCAR):
```
TaTiSn2
1.0
2.9153 -0.6049 3.7889
-1.7553 0.3639 4.4729
-0.4125 -3.9328 2.7538
Ti Sn Ta
1 2 1
direct
0.0000 0.0000 0.0000
0.2500 0.2500 0.2500
0.7500 0.7500 0.7500
0.5000 0.5000 0.5000
```

Results
V   19.8 A^3/atom

#iii
Below is crystalline TaTiSn2 at its relaxed geometry, with properties calculated at the PBE level.

Structure (POSCAR):
```
TaTiSn2
1.0
3.1242 0.0000 0.0000
1.5621 2.7057 0.0000
1.5621 0.9019 9.5126
Ti Sn Ta
1 2 1
direct
0.0000 0.0000 0.0000
0.7488 0.7488 0.7535
0.2512 0.2512 0.2465
0.5000 0.5000 0.5000
```

Results
V   20.1 A^3/atom

Of them, the most stable is #iii and the least stable is #i.

#i
Below is crystalline Ta3TiSn at its relaxed geometry, with properties calculated at the PBE level.

Structure (POSCAR):
```
Ta3TiSn
1.0
4.9840 0.0000 0.0000
0.0000 4.9840 0.0000
0.0000 0.0000 4.9840
Ti Sn Ta
1 1 3
direct
0.5000 0.5000 0.5000
0.0000 0.0000 0.0000
0.0000 0.5000 0.0000
0.0000 0.0000 0.5000
0.5000 0.0000 0.0000
```

Results
V   24.8 A^3/atom

#ii
Below is crystalline Ta3TiSn at its relaxed geometry, with properties calculated at the PBE level.

Structure (POSCAR):
```
Ta3TiSn
1.0
4.7314 0.0000 0.0000
0.0000 4.7314 0.0000
0.0000 0.0000 4.7314
Ti Sn Ta
1 1 3
direct
0.0000 0.0000 0.0000
0.5000 0.5000 0.5000
0.0000 0.5000 0.0000
0.0000 0.0000 0.5000
0.5000 0.0000 0.0000
```

Results
V   21.2 A^3/atom

Of them, the most stable is #ii and the least stable is #i.

#i
Below is crystalline TaTl3Sn at its relaxed geometry, with properties calculated at the PBE level.

Structure (POSCAR):
```
TaTl3Sn
1.0
-1.9986 3.8362 3.3706
-3.8445 -3.5127 1.7183
3.3611 -1.7368 3.9696
Tl Sn Ta
3 1 1
direct
0.0000 0.5000 0.0000
0.0000 0.0000 0.5000
0.5000 0.0000 0.0000
0.5000 0.5000 0.5000
0.0000 0.0000 0.0000
```

Results
V   33.0 A^3/atom

#ii
Below is crystalline TaTl3Sn at its relaxed geometry, with properties calculated at the PBE level.

Structure (POSCAR):
```
TaTl3Sn
1.0
5.6911 0.0000 0.0000
0.0000 5.6911 0.0000
0.0000 0.0000 5.6911
Tl Sn Ta
3 1 1
direct
0.0000 0.5000 0.0000
0.0000 0.0000 0.5000
0.5000 0.0000 0.0000
0.0000 0.0000 0.0000
0.5000 0.5000 0.5000
```

Results
V   36.9 A^3/atom

Of them, the most stable is #i and the least stable is #ii.

#i
Below is crystalline TaTl2Sn at its relaxed geometry, with properties calculated at the PBE level.

Structure (POSCAR):
```
TaTl2Sn
1.0
8.6226 0.0000 0.0000
0.0000 8.6226 0.0000
4.3113 4.3113 2.8976
Tl Sn Ta
4 2 2
direct
0.6740 0.1250 0.2500
0.0760 0.6250 0.2500
0.3750 0.3260 0.7500
0.8750 0.9240 0.7500
0.5000 0.5000 0.0000
0.2500 0.7500 0.5000
0.0000 0.0000 0.0000
0.7500 0.2500 0.5000
```

Results
V   26.9 A^3/atom

#ii
Below is crystalline TaTl2Sn at its relaxed geometry, with properties calculated at the PBE level.

Structure (POSCAR):
```
TaTl2Sn
1.0
-0.7814 -0.6052 5.1203
0.3718 4.1029 3.1973
-4.2845 1.9618 2.2336
Tl Sn Ta
2 1 1
direct
0.2500 0.2500 0.2500
0.7500 0.7500 0.7500
0.0000 0.0000 0.0000
0.5000 0.5000 0.5000
```

Results
V   25.1 A^3/atom

Of them, the most stable is #i and the least stable is #ii.

#i
Below is crystalline TaTlSn2 at its relaxed geometry, with properties calculated at the PBE level.

Structure (POSCAR):
```
TaTlSn2
1.0
3.1878 0.0000 0.0000
1.5939 2.7607 0.0000
1.5939 0.9202 11.3506
Tl Sn Ta
1 2 1
direct
0.0000 0.0000 0.0000
0.0960 0.0960 0.7121
0.9040 0.9040 0.2879
0.5000 0.5000 0.5000
```

Results
V   25.0 A^3/atom

#ii
Below is crystalline TaTlSn2 at its relaxed geometry, with properties calculated at the PBE level.

Structure (POSCAR):
```
TaTlSn2
1.0
1.9496 -4.6471 -1.0721
-2.9926 -3.6249 -2.1095
0.7351 -1.4177 -4.8985
Tl Sn Ta
1 2 1
direct
0.5000 0.5000 0.5000
0.2500 0.2500 0.2500
0.7500 0.7500 0.7500
0.0000 0.0000 0.0000
```

Results
V   24.2 A^3/atom

#iii
Below is crystalline TaTlSn2 at its relaxed geometry, with properties calculated at the PBE level.

Structure (POSCAR):
```
TaTlSn2
1.0
4.3015 0.0000 0.0000
0.0000 4.3015 0.0000
2.1508 2.1508 10.6315
Tl Sn Ta
2 4 2
direct
0.0000 0.0000 0.0000
0.7500 0.2500 0.5000
0.6114 0.1250 0.2500
0.1386 0.6250 0.2500
0.3750 0.3886 0.7500
0.8750 0.8614 0.7500
0.5000 0.5000 0.0000
0.2500 0.7500 0.5000
```

Results
V   24.6 A^3/atom

Of them, the most stable is #i and the least stable is #ii.

#i
Below is crystalline Ta2Tl2Sn at its relaxed geometry, with properties calculated at the PBE level.

Structure (POSCAR):
```
Ta2Tl2Sn
1.0
-0.0794 3.1827 2.4866
-3.3858 1.3036 -1.7766
-5.6423 -1.5192 5.0457
Tl Sn Ta
2 1 2
direct
0.7500 0.2500 0.5000
0.2500 0.7500 0.5000
0.0000 0.0000 0.0000
0.4110 0.4110 0.1781
0.5890 0.5890 0.8219
```

Results
V   23.4 A^3/atom

#ii
Below is crystalline Ta2Tl2Sn at its relaxed geometry, with properties calculated at the PBE level.

Structure (POSCAR):
```
Ta2Tl2Sn
1.0
7.2654 0.0000 0.0000
0.0000 7.2654 0.0000
0.0000 0.0000 4.3123
Tl Sn Ta
4 2 4
direct
0.1691 0.6691 0.5000
0.6691 0.8309 0.5000
0.8309 0.3309 0.5000
0.3309 0.1691 0.5000
0.0000 0.0000 0.0000
0.5000 0.5000 0.0000
0.3673 0.8673 0.0000
0.8673 0.6327 0.0000
0.6327 0.1327 0.0000
0.1327 0.3673 0.0000
```

Results
V   22.8 A^3/atom

Of them, the most stable is #ii and the least stable is #i.